This record from OQMD via LeMat-Bulk describes Li4SiHgPt2 after structural relaxation. The functional is PBE.

Computed properties:
Final energy, eV per atom: -3.773
SG: No. 115
Total magnetization, μB/f.u.: 0.01

Structure (extended XYZ):
```
8
Lattice="4.236 0.000 0.000 0.000 4.236 0.000 0.000 0.000 6.418" Properties=species:S:1:pos:R:3 pbc="T T T"
Hg 0.000 0.000 0.000
Li 2.118 2.118 0.000
Li 0.000 2.118 1.686
Li 0.000 0.000 3.209
Li 2.118 0.000 4.732
Pt 2.118 0.000 1.936
Pt 0.000 2.118 4.482
Si 2.118 2.118 3.209
```